1.
Density functional theory data (PBE) for a relaxed LiTaMo2 crystal.

Lattice parameters (Å, degrees): 3.170 4.478 9.426 90.00 90.00 90.00
Space group Cmm2 (No. 35)
Unique sites:
1 Li 0.000 0.000 0.000 (multiplicity 2)
2 Ta 0.000 0.500 0.728 (multiplicity 2)
3 Mo 0.000 0.000 0.484 (multiplicity 2)
4 Mo 0.000 0.500 0.253 (multiplicity 2)

Output
The calculation puts the total magnetization at 0.00 μB/cell. The calculation puts the calculated volume at 133.79 Å³ per cell. The polymorph energy (0 for the lowest one) comes out at 0 meV/atom. The energy of formation from the pure elements comes out at 211 meV/atom. As for the calculated total energy: -0.318 hartree per atom.

2.
Density functional theory data (PBE) for a relaxed LiTa2Mo crystal.

Lattice parameters (Å, degrees): 3.191 4.554 9.687 90.00 90.00 90.00
Space group Cmmm (No. 65)
Unique sites:
1 Li 0.000 0.000 0.000 (multiplicity 2)
2 Ta 0.000 0.500 0.265 (multiplicity 4)
3 Mo 0.000 0.000 0.500 (multiplicity 2)

Output
The calculation puts the total magnetization at 0.00 μB/cell. The calculation puts the calculated volume at 140.74 Å³ per cell. The polymorph energy (0 for the lowest one) comes out at 0 meV/atom. The energy of formation from the pure elements comes out at 174 meV/atom. As for the calculated total energy: -0.328 hartree per atom.

3.
Density functional theory data (PBE) for a relaxed Li2TaMo crystal.

Lattice parameters (Å, degrees): 3.661 3.661 4.893 90.00 90.00 90.00
Space group P4/mmm (No. 123)
Unique sites:
1 Li 0.000 0.500 0.000 (multiplicity 2)
2 Ta 0.000 0.000 0.500 (multiplicity 1)
3 Mo 0.500 0.500 0.500 (multiplicity 1)

Output
The calculation puts the total magnetization at 0.00 μB/cell. The calculation puts the calculated volume at 65.57 Å³ per cell. The polymorph energy (0 for the lowest one) comes out at 259 meV/atom. The energy of formation from the pure elements comes out at 457 meV/atom. As for the calculated total energy: -0.227 hartree per atom.

4.
Density functional theory data (PBE) for a relaxed LiTaMo2 crystal.

Lattice parameters (Å, degrees): 2.678 4.508 5.355 90.00 98.63 90.00
Space group Pm (No. 6)
Unique sites:
1 Li 0.000 0.000 0.000 (multiplicity 1)
2 Ta 0.258 0.500 0.746 (multiplicity 1)
3 Mo 0.546 0.000 0.487 (multiplicity 1)
4 Mo 0.778 0.500 0.255 (multiplicity 1)

Output
The calculation puts the total magnetization at 0.00 μB/cell. The calculation puts the calculated volume at 63.91 Å³ per cell. The polymorph energy (0 for the lowest one) comes out at 32 meV/atom. The energy of formation from the pure elements comes out at 243 meV/atom. As for the calculated total energy: -0.317 hartree per atom.

5.
Density functional theory data (PBE) for a relaxed Li2TaMo crystal.

Lattice parameters (Å, degrees): 5.206 10.174 2.663 90.00 110.97 90.00
Space group C2/m (No. 12)
Unique sites:
1 Li 0.250 0.250 0.000 (multiplicity 4)
2 Ta 0.000 0.000 0.500 (multiplicity 2)
3 Mo 0.000 0.500 0.500 (multiplicity 2)

Output
The calculation puts the total magnetization at 0.00 μB/cell. The calculation puts the calculated volume at 131.70 Å³ per cell. The polymorph energy (0 for the lowest one) comes out at 156 meV/atom. The energy of formation from the pure elements comes out at 354 meV/atom. As for the calculated total energy: -0.231 hartree per atom.

6.
Density functional theory data (PBE) for a relaxed Li2TaMo crystal.

Lattice parameters (Å, degrees): 3.195 4.481 9.561 90.00 90.00 90.00
Space group Cmm2 (No. 35)
Unique sites:
1 Li 0.000 0.000 0.000 (multiplicity 2)
2 Li 0.000 0.500 0.262 (multiplicity 2)
3 Ta 0.000 0.000 0.523 (multiplicity 2)
4 Mo 0.000 0.500 0.758 (multiplicity 2)

Output
The calculation puts the total magnetization at 0.00 μB/cell. The calculation puts the calculated volume at 136.88 Å³ per cell. The polymorph energy (0 for the lowest one) comes out at 0 meV/atom. The energy of formation from the pure elements comes out at 198 meV/atom. As for the calculated total energy: -0.236 hartree per atom.